[1]
## Co3As2O8 (PBE with a Hubbard U)

Data for crystalline Co3As2O8 at its relaxed geometry.

Output
SG ... I-4, No. 82
N(E_F) ... 0.00 states/eV/f.u.

abc: 10.627 10.627 10.627
angles: 142.05 142.05 54.75
Element x y z (fractional)
Co (0.130, 0.629, 0.006)
Co (0.225, 0.225, 0.000)
Co (0.750, 0.250, 0.500)
Co (0.876, 0.870, 0.498)
Co (0.623, 0.124, 0.994)
Co (0.477, 0.977, 0.500)
Co (0.023, 0.523, 0.500)
Co (0.775, 0.775, 0.000)
Co (0.371, 0.377, 0.502)
As (0.000, 0.000, 0.000)
As (0.629, 0.532, 0.409)
As (0.124, 0.220, 0.591)
As (0.468, 0.876, 0.097)
As (0.250, 0.750, 0.500)
As (0.780, 0.371, 0.903)
O (0.169, 0.908, 0.166)
O (0.439, 0.677, 0.329)
O (0.810, 0.626, 0.737)
O (0.926, 0.190, 0.816)
O (0.146, 0.454, 0.716)
O (0.077, 0.309, 0.780)
O (0.529, 0.297, 0.220)
O (0.738, 0.430, 0.284)
O (0.374, 0.111, 0.184)
O (0.997, 0.831, 0.739)
O (0.570, 0.854, 0.308)
O (0.348, 0.109, 0.671)
O (0.889, 0.074, 0.263)
O (0.703, 0.923, 0.232)
O (0.149, 0.922, 0.657)
O (0.741, 0.003, 0.834)
O (0.508, 0.851, 0.773)
O (0.323, 0.652, 0.762)
O (0.891, 0.561, 0.238)
O (0.078, 0.735, 0.227)
O (0.265, 0.492, 0.343)
O (0.691, 0.471, 0.768)
O (0.546, 0.262, 0.692)
O (0.092, 0.259, 0.261)

***

[2]
## Co2AsO4 (PBE with a Hubbard U)

Data for crystalline Co2AsO4 at its relaxed geometry.

Output
SG ... C2/m, No. 12
N(E_F) ... 0.99 states/eV/f.u.

abc: 3.252 5.017 6.467
angles: 120.33 104.56 90.00
Element x y z (fractional)
Co (0.648, 0.754, 0.295)
Co (0.352, 0.246, 0.705)
As (0.000, 0.000, 0.000)
O (0.842, 0.002, 0.684)
O (0.158, 0.998, 0.316)
O (0.550, 0.294, 0.100)
O (0.450, 0.706, 0.900)

***

[3]
## CoAs2O (PBE with a Hubbard U)

Data for crystalline CoAs2O at its relaxed geometry.

Output
SG ... I-42d, No. 122
N(E_F) ... 1.26 states/eV/f.u.

abc: 5.104 5.104 6.234
angles: 65.83 65.83 90.00
Element x y z (fractional)
As (0.618, 0.125, 0.250)
As (0.132, 0.625, 0.250)
As (0.375, 0.382, 0.750)
As (0.875, 0.868, 0.750)
Co (0.000, 0.000, 0.000)
Co (0.750, 0.250, 0.500)
O (0.500, 0.500, 0.000)
O (0.250, 0.750, 0.500)

***

[4]
## CoAs2O4 (PBE with a Hubbard U)

Data for crystalline CoAs2O4 at its relaxed geometry.

Output
SG ... P4_2/mbc, No. 135

abc: 8.505 8.505 5.762
angles: 90.00 90.00 90.00
Element x y z (fractional)
Co (0.000, 0.500, 0.250)
Co (0.500, 0.000, 0.750)
Co (0.000, 0.500, 0.750)
Co (0.500, 0.000, 0.250)
As (0.190, 0.170, 0.000)
As (0.830, 0.190, 0.500)
As (0.810, 0.830, 0.000)
As (0.170, 0.810, 0.500)
As (0.690, 0.330, 0.000)
As (0.310, 0.670, 0.000)
As (0.670, 0.690, 0.500)
As (0.330, 0.310, 0.500)
O (0.187, 0.313, 0.250)
O (0.687, 0.187, 0.750)
O (0.813, 0.687, 0.250)
O (0.313, 0.813, 0.750)
O (0.813, 0.687, 0.750)
O (0.313, 0.813, 0.250)
O (0.187, 0.313, 0.750)
O (0.687, 0.187, 0.250)
O (0.104, 0.634, 0.000)
O (0.366, 0.104, 0.500)
O (0.896, 0.366, 0.000)
O (0.634, 0.896, 0.500)
O (0.604, 0.866, 0.000)
O (0.396, 0.134, 0.000)
O (0.134, 0.604, 0.500)
O (0.866, 0.396, 0.500)

***

[5]
## CoAsO3 (PBE with a Hubbard U)

Data for crystalline CoAsO3 at its relaxed geometry.

Output
SG ... P-6c2, No. 188
N(E_F) ... 3.13 states/eV/f.u.

abc: 5.367 5.347 5.347
angles: 120.00 90.00 90.00
Element x y z (fractional)
Co (0.000, 0.000, 0.000)
Co (0.500, 0.000, 0.000)
As (0.500, 0.667, 0.333)
As (0.000, 0.667, 0.333)
O (0.750, 0.341, 0.243)
O (0.750, 0.903, 0.659)
O (0.750, 0.757, 0.097)
O (0.250, 0.757, 0.659)
O (0.250, 0.341, 0.097)
O (0.250, 0.903, 0.243)

***

[6]
## Co3AsO (PBE with a Hubbard U)

Data for crystalline Co3AsO at its relaxed geometry.

Output
Relative energy among the computed polymorphs ... 0.000 eV/atom
SG ... Pm-3m, No. 221
N(E_F) ... 3.25 states/eV/f.u.

abc: 3.943 3.943 3.943
angles: 90.00 90.00 90.00
Element x y z (fractional)
As (0.500, 0.500, 0.500)
Co (0.000, 0.500, 0.000)
Co (0.000, 0.000, 0.500)
Co (0.500, 0.000, 0.000)
O (0.000, 0.000, 0.000)

***

Sequential final energy output: -234.7 -41.4 -37.4 -169.7 -55.6 -23.4 eV/cell